# 1
An optimized crystal structure of Cs2Tl2Cd. Source: the Alexandria database, functional PBE.

Results
The calculation puts the theoretical density at 4.83 g/cm³. For the calculated volume, the calculation gives 541.12 Å³/cell. The value obtained for the total energy is -1.391 eV per atom. As for the formation energy: 0.080 eV per atom. The density of states at the Fermi level is 1.249 states/eV/atom. Its total magnetization is 0.000 μB per atom.

Unit cell a=7.686 b=7.686 c=9.160 alpha=90.00 beta=90.00 gamma=90.00
Space group I4/mmm (No. 139)
Inequivalent atoms, fractional coordinates:
Cs (0.000, 0.500, 0.250) [4 per cell]
Tl (0.000, 0.000, 0.160) [4 per cell]
Cd (0.000, 0.000, 0.500) [2 per cell]

# 2
An optimized crystal structure of Nd2BiAu. Source: the Alexandria database, functional PBE.

Results
The calculation puts the theoretical density at 9.39 g/cm³. For the calculated volume, the calculation gives 491.19 Å³/cell. The value obtained for the total energy is -4.946 eV per atom. As for the formation energy: -0.772 eV per atom. The density of states at the Fermi level is 0.891 states/eV/atom. Its total magnetization is 0.000 μB per atom.

Unit cell a=4.206 b=24.246 c=4.817 alpha=90.00 beta=90.00 gamma=90.00
Space group Cmcm (No. 63)
Inequivalent atoms, fractional coordinates:
Nd (0.000, 0.058, 0.250) [4 per cell]
Nd (0.000, 0.323, 0.250) [4 per cell]
Bi (0.000, 0.189, 0.250) [4 per cell]
Au (0.000, 0.459, 0.250) [4 per cell]